Crystalline Cs2RbPrI6 at its relaxed geometry. Source: Alexandria via LeMat-Bulk, functional PBE-GGA.

Calculated values
- Volume: 1104.88 Å³ per cell
- Raw formation energy: -1.52 eV per atom
- Total energy: -3.1906 eV per atom
- Space group: No. 14
- M_tot: 0.00 Bohr magnetons per cell

Lattice parameters (Å, degrees): 8.9964 9.5478 12.8647 90.00 89.10 90.00
Fractional positions:
I1 0.8266 0.7757 0.9374
I2 0.6734 0.2757 0.5626
I3 0.3266 0.7243 0.4374
I4 0.1141 0.4622 0.7689
I5 0.3859 0.9622 0.7311
I6 0.1734 0.2243 0.0626
I7 0.8859 0.5378 0.2311
I8 0.7830 0.8183 0.5511
I9 0.2830 0.6817 0.0511
I10 0.6141 0.0378 0.2689
I11 0.2170 0.1817 0.4489
I12 0.7170 0.3183 0.9489
Cs1 0.5296 0.5768 0.7531
Cs2 0.9704 0.0768 0.7469
Cs3 0.0296 0.9232 0.2531
Cs4 0.4704 0.4232 0.2469
Pr1 0.5000 0.0000 0.5000
Pr2 0.0000 0.5000 0.0000
Rb1 0.5000 0.0000 0.0000
Rb2 0.0000 0.5000 0.5000